[1]
This record from the Alexandria database describes crystalline ThHg6 at its relaxed geometry. The functional is PBE-GGA.

Cell: 6.729 6.729 6.729 Å, 109.47 109.47 109.47°
Each line ends with the local moment (μB).
Atoms (fractional coordinates):
Hg: 0.750 0.250 0.500  0.00
Hg: 0.750 0.500 0.250  0.00
Hg: 0.250 0.750 0.500  0.00
Hg: 0.250 0.500 0.750  0.00
Hg: 0.500 0.750 0.250  0.00
Hg: 0.500 0.250 0.750  0.00
Th: 0.000 0.000 0.000  0.43

Results
N(E_F): 7.34 states/eV per cell
electronic total energy: -0.698 eV/atom
M_tot: 0.58 μB/cell
space group: Im-3m
E_form: 0.6210 eV/atom
energy relative to the lowest polymorph listed for this composition: 738 meV per atom

[2]
This record from the Alexandria database describes crystalline MnNiPt3 at its relaxed geometry. The functional is PBE-GGA.

Cell: 4.173 5.418 6.996 Å, 90.00 90.00 90.00°
Each line ends with the local moment (μB).
Atoms (fractional coordinates):
Pt: 0.750 0.491 0.725  0.32
Pt: 0.750 0.009 0.725  0.32
Pt: 0.750 0.750 0.072  0.31
Pt: 0.250 0.509 0.275  0.32
Pt: 0.250 0.991 0.275  0.32
Pt: 0.250 0.250 0.928  0.31
Mn: 0.750 0.250 0.171  3.74
Mn: 0.250 0.750 0.829  3.74
Ni: 0.250 0.250 0.570  0.86
Ni: 0.750 0.750 0.430  0.86

Results
N(E_F): 14.20 states/eV per cell
electronic total energy: -6.585 eV/atom
M_tot: 11.40 μB/cell
space group: Pmmn
E_form: 0.0295 eV/atom
energy relative to the lowest polymorph listed for this composition: 281 meV per atom

[3]
This record from the Alexandria database describes crystalline Ce3FeHg at its relaxed geometry. The functional is PBE-GGA.

Cell: 5.327 6.370 7.356 Å, 95.15 90.00 90.00°
Each line ends with the local moment (μB).
Atoms (fractional coordinates):
Ce: 0.750 0.015 0.317  0.13
Ce: 0.250 0.660 0.093  0.09
Ce: 0.250 0.396 0.547  0.32
Ce: 0.750 0.604 0.453  0.32
Ce: 0.750 0.340 0.907  0.09
Ce: 0.250 0.985 0.683  0.13
Fe: 0.250 0.814 0.368  -0.09
Fe: 0.750 0.186 0.632  -0.09
Hg: 0.750 0.826 0.864  0.00
Hg: 0.250 0.174 0.136  0.00

Results
N(E_F): 20.45 states/eV per cell
electronic total energy: -5.475 eV/atom
M_tot: 1.14 μB/cell
space group: P2_1/m
E_form: -0.1620 eV/atom
energy relative to the lowest polymorph listed for this composition: 0 meV per atom

[4]
This record from the Alexandria database describes crystalline Eu2HfN at its relaxed geometry. The functional is PBE-GGA.

Cell: 3.396 3.396 9.793 Å, 80.02 80.02 60.00°
Each line ends with the local moment (μB).
Atoms (fractional coordinates):
Hf: 0.000 0.000 0.000  0.32
N: 0.500 0.500 0.500  -0.16
Eu: 0.884 0.884 0.349  6.81
Eu: 0.116 0.116 0.651  6.81

Results
N(E_F): 6.10 states/eV per cell
electronic total energy: -9.851 eV/atom
M_tot: 14.52 μB/cell
formation energy without anion corrections: -144 meV per atom
space group: R-3m

[5]
This record from the Alexandria database describes crystalline Sm2Si3Au2 at its relaxed geometry. The functional is PBE-GGA.

Cell: 4.376 6.987 9.411 Å, 90.00 103.44 90.00°
Atoms (fractional coordinates):
Au: 0.316 0.050 0.631
Au: 0.684 0.950 0.369
Au: 0.684 0.550 0.369
Au: 0.316 0.450 0.631
Si: 0.444 0.578 0.888
Si: 0.223 0.750 0.446
Si: 0.556 0.078 0.112
Si: 0.556 0.422 0.112
Si: 0.444 0.922 0.888
Si: 0.777 0.250 0.554
Sm: 0.847 0.750 0.694
Sm: 0.153 0.250 0.306
Sm: 0.949 0.250 0.898
Sm: 0.051 0.750 0.102

Results
N(E_F): 4.36 states/eV per cell
electronic total energy: -5.304 eV/atom
M_tot: 0.00 μB/cell
formation energy without anion corrections: -695 meV per atom
space group: Cmcm

[6]
This record from the Alexandria database describes crystalline BiS2Cl at its relaxed geometry. The functional is PBE-GGA.

Cell: 9.681 9.681 9.681 Å, 19.86 19.86 19.86°
Atoms (fractional coordinates):
S: 0.907 0.907 0.907
S: 0.093 0.093 0.093
Cl: 0.500 0.500 0.500
Bi: 0.000 0.000 0.000

Results
N(E_F): 3.69 states/eV per cell
electronic total energy: -2.756 eV/atom
M_tot: 0.00 μB/cell
formation energy without anion corrections: 739 meV per atom
space group: R-3m
energy relative to the lowest polymorph listed for this composition: 861 meV per atom

[7]
This record from the Alexandria database describes crystalline NaFePPt at its relaxed geometry. The functional is PBE-GGA.

Cell: 3.700 3.700 10.576 Å, 90.00 90.00 90.00°
Each line ends with the local moment (μB).
Atoms (fractional coordinates):
Na: 0.250 0.250 0.732  0.00
Na: 0.750 0.750 0.268  0.00
P: 0.750 0.750 0.891  0.00
P: 0.250 0.250 0.109  0.00
Pt: 0.750 0.250 0.500  0.01
Pt: 0.250 0.750 0.500  0.01
Fe: 0.250 0.750 0.000  0.07
Fe: 0.750 0.250 0.000  0.07

Results
N(E_F): 8.25 states/eV per cell
electronic total energy: -5.583 eV/atom
M_tot: 0.16 μB/cell
space group: P4/nmm
E_form: -0.2744 eV/atom

[8]
This record from the Alexandria database describes crystalline YAs2PbSe at its relaxed geometry. The functional is PBE-GGA.

Cell: 5.344 5.344 5.480 Å, 90.00 90.00 90.00°
Atoms (fractional coordinates):
As: 0.000 0.500 0.000
As: 0.500 0.000 0.000
Pb: 0.000 0.000 0.000
Se: 0.000 0.000 0.500
Y: 0.500 0.500 0.500

Results
N(E_F): 4.92 states/eV per cell
electronic total energy: -4.255 eV/atom
M_tot: 0.00 μB/cell
formation energy without anion corrections: 336 meV per atom
space group: P4/mmm
energy relative to the lowest polymorph listed for this composition: 333 meV per atom

What did the fourth record say?
This record from the Alexandria database describes crystalline Eu2HfN at its relaxed geometry. The functional is PBE-GGA.

Cell: 3.396 3.396 9.793 Å, 80.02 80.02 60.00°
Each line ends with the local moment (μB).
Atoms (fractional coordinates):
Hf: 0.000 0.000 0.000  0.32
N: 0.500 0.500 0.500  -0.16
Eu: 0.884 0.884 0.349  6.81
Eu: 0.116 0.116 0.651  6.81

Results
N(E_F): 6.10 states/eV per cell
electronic total energy: -9.851 eV/atom
M_tot: 14.52 μB/cell
formation energy without anion corrections: -144 meV per atom
space group: R-3m

Repeat the fourth record exactly.
This record from the Alexandria database describes crystalline Eu2HfN at its relaxed geometry. The functional is PBE-GGA.

Cell: 3.396 3.396 9.793 Å, 80.02 80.02 60.00°
Each line ends with the local moment (μB).
Atoms (fractional coordinates):
Hf: 0.000 0.000 0.000  0.32
N: 0.500 0.500 0.500  -0.16
Eu: 0.884 0.884 0.349  6.81
Eu: 0.116 0.116 0.651  6.81

Results
N(E_F): 6.10 states/eV per cell
electronic total energy: -9.851 eV/atom
M_tot: 14.52 μB/cell
formation energy without anion corrections: -144 meV per atom
space group: R-3m